Zr2Sb3P after structural relaxation. Source: Alexandria, functional PBE.

Properties
- formation energy from raw total energies (meV per atom) = -598
- final energy (eV/atom) = -6.41
- crystal system = tetragonal

Lattice parameters (Å, degrees): 3.960 3.960 8.610 90.00 90.00 90.00
Space group P-4m2 (No. 115)
Inequivalent atoms, fractional coordinates:
Zr (0.000, 0.500, 0.247) x2
Sb (0.000, 0.500, 0.886) x2
Sb (0.500, 0.500, 0.500) x1
P (0.000, 0.000, 0.500) x1